Record 1
Here is a relaxed structure of CaPt2Br from Alexandria. Energies are from PBE.

The total energy comes out at -35.19 eV/cell. The total magnetization is 0.00 μB per cell. The energy above the lowest structure with this stoichiometry is 264 meV per atom. The calculation puts the density at 10.166 g cm⁻³. The calculation puts the uncorrected formation energy at -0.460 eV/atom. For the volume, the calculation gives 166.7 Å³ per cell.

a b c (Å): 3.8917 3.8917 11.0037
angles (deg): 90.00 90.00 90.00
Space group I4/mmm (No. 139)
Symmetry-distinct sites (fractional):
Ca 0.0000 0.0000 0.0000 [2 per cell]
Pt 0.0000 0.5000 0.2500 [4 per cell]
Br 0.0000 0.0000 0.5000 [2 per cell]



Record 2
Here is a relaxed structure of ScZn3Ga3 from Alexandria. Energies are from PBE.

The total energy comes out at -40.39 eV/cell. The total magnetization is 0.00 μB per cell. The energy above the lowest structure with this stoichiometry is 0 meV per atom. The calculation puts the density at 6.111 g cm⁻³. For the volume, the calculation gives 244.7 Å³ per cell.

a b c (Å): 8.1428 8.1428 4.2622
angles (deg): 90.00 90.00 120.00
Space group P6_3/m (No. 176)
Symmetry-distinct sites (fractional):
Sc 0.3333 0.6667 0.2500 [2 per cell]
Zn 0.0689 0.2352 0.2500 [6 per cell]
Ga 0.0803 0.4505 0.7500 [6 per cell]



Record 3
Here is a relaxed structure of K6RbAuF from Alexandria. Energies are from PBE.

The total energy comes out at -17.88 eV/cell. The total magnetization is 0.00 μB per cell. The calculation puts the density at 1.562 g cm⁻³. The calculation puts the uncorrected formation energy at -0.576 eV/atom. For the volume, the calculation gives 569.7 Å³ per cell.

a b c (Å): 7.8581 7.8581 10.6543
angles (deg): 90.00 90.00 120.00
Space group P312 (No. 149)
Symmetry-distinct sites (fractional):
K 0.0008 0.2929 0.1583 [6 per cell]
Rb 0.3333 0.6667 0.5000 [1 per cell]
Au 0.6667 0.3333 0.0000 [1 per cell]
F 0.0000 0.0000 0.0000 [1 per cell]



Record 4
Here is a relaxed structure of Th2AlGe from Alexandria. Energies are from PBE.

The total energy comes out at -50.88 eV/cell. The total magnetization is 0.00 μB per cell. The energy above the lowest structure with this stoichiometry is 0 meV per atom. The calculation puts the density at 9.004 g cm⁻³. For the volume, the calculation gives 207.9 Å³ per cell.

a b c (Å): 4.1288 4.4741 11.2549
angles (deg): 90.00 90.00 90.00
Space group Amm2 (No. 38)
Symmetry-distinct sites (fractional):
Th 0.0000 0.0000 0.0000 [2 per cell]
Th 0.5000 0.0000 0.2839 [2 per cell]
Al 0.0000 0.0000 0.7159 [2 per cell]
Ge 0.5000 0.0000 0.5654 [2 per cell]



Record 5
Here is a relaxed structure of Ho2Er2AlGa4 from Alexandria. Energies are from PBE.

The total energy comes out at -72.35 eV/cell. The total magnetization is 0.00 μB per cell. The calculation puts the density at 7.609 g cm⁻³. For the volume, the calculation gives 423.5 Å³ per cell.

a b c (Å): 6.9348 6.9348 8.8057
angles (deg): 90.00 90.00 90.00
Space group I4/mmm (No. 139)
Symmetry-distinct sites (fractional):
Ho 0.0000 0.0000 0.1876 [4 per cell]
Er 0.0000 0.5000 0.2500 [4 per cell]
Al 0.0000 0.0000 0.5000 [2 per cell]
Ga 0.2485 0.2485 0.0000 [8 per cell]



Record 6
Here is a relaxed structure of TaZnF2 from Alexandria. Energies are from PBE.

The total energy comes out at -73.59 eV/cell. The total magnetization is 0.00 μB per cell. The energy above the lowest structure with this stoichiometry is 1013 meV per atom. The calculation puts the density at 8.060 g cm⁻³. The calculation puts the uncorrected formation energy at -0.382 eV/atom. For the volume, the calculation gives 234.3 Å³ per cell.

a b c (Å): 5.1822 5.1822 8.7261
angles (deg): 90.00 90.00 90.00
Space group I-42d (No. 122)
Symmetry-distinct sites (fractional):
Ta 0.0000 0.0000 0.0000 [4 per cell]
Zn 0.0000 0.0000 0.5000 [4 per cell]
F 0.2277 0.2500 0.6250 [8 per cell]



Q: Which formula does entry 4 have?
A: Th2AlGe